[1]
The following is a PBE-GGA calculation of a relaxed YNiRu crystal, from the Alexandria database.

Summary:
- magnetization (μB/atom) = 0.308
- ΔH_f (0 K) (eV/atom) = -0.1730

abc: 4.096 4.096 3.879
angles: 90.00 90.00 120.00
Last column: magnetic moment on the atom in μB.
Fractional positions:
Ni: 0.000 0.000 0.167  0.41
Ru: 0.333 0.667 0.167  0.56
Y: 0.667 0.333 0.667  -0.03

[2]
The following is a PBE-GGA calculation of a relaxed P3W crystal, from the Alexandria database.

Summary:
- magnetization (μB/atom) = 0.000
- ΔH_f (0 K) (eV/atom) = 0.8276

abc: 3.855 3.855 3.855
angles: 90.00 90.00 90.00
Fractional positions:
P: 0.000 0.500 0.500
P: 0.500 0.000 0.500
P: 0.500 0.500 0.000
W: 0.000 0.000 0.000

[3]
The following is a PBE-GGA calculation of a relaxed CaIr2 crystal, from the Alexandria database.

Summary:
- magnetization (μB/atom) = 0.000
- ΔH_f (0 K) (eV/atom) = 0.1412

abc: 6.643 6.643 4.056
angles: 90.00 90.00 143.99
Fractional positions:
Ca: 0.085 0.915 0.750
Ca: 0.915 0.085 0.250
Ir: 0.401 0.599 0.750
Ir: 0.599 0.401 0.250
Ir: 0.748 0.252 0.750
Ir: 0.252 0.748 0.250